Below is a relaxed NaTcWO6 crystal, with properties calculated at the PBE with a Hubbard U level.

Its total energy is -7.073 eV per atom.

The space group is P4_2nm (No. 102) and the conventional cell measures 4.8588, 4.8588 and 9.2883 Å, with angles of 90.00, 90.00 and 90.00 degrees. Symmetry generates all atoms from Na at (0.0000, 0.0000, 0.0000), Tc at (0.0000, 0.0000, 0.3275), W at (0.0000, 0.0000, 0.6669), O at (0.1738, 0.1738, 0.4974), O at (0.2188, 0.2188, 0.8031) and O at (0.2197, 0.2197, 0.1900).